1.
Compound: Zr5Rh
Source: Alexandria
Functional: GGA-PBEsol
Structure: optimized geometry

Results
Its calculated density is 7.8 g/cm³. Its crystal system is orthorhombic. The value obtained for the energy above the most stable polymorph in this dataset is 0.058 eV/atom. Its formation energy is -0.204 eV per atom.

Cell: 3.2397 14.7510 5.0049 Å, 90.00 90.00 90.00°
Space group Cmmm (No. 65)
One atom of each set of equivalent atoms:
Zr (0.0000, 0.0000, 0.0000) (multiplicity 2)
Zr (0.0000, 0.1540, 0.5000) (multiplicity 4)
Zr (0.0000, 0.3345, 0.0000) (multiplicity 4)
Rh (0.0000, 0.5000, 0.5000) (multiplicity 2)

2.
Compound: Zr3Rh
Source: Alexandria
Functional: GGA-PBEsol
Structure: optimized geometry

Results
Its calculated density is 7.9 g/cm³. Its crystal system is tetragonal. Its formation energy is -0.420 eV per atom.

Cell: 10.6113 10.6113 5.6283 Å, 90.00 90.00 90.00°
Space group I-42m (No. 121)
One atom of each set of equivalent atoms:
Zr (0.0000, 0.3553, 0.0000) (multiplicity 8)
Zr (0.0950, 0.0950, 0.7633) (multiplicity 8)
Zr (0.2055, 0.2055, 0.2458) (multiplicity 8)
Rh (0.0000, 0.2933, 0.5000) (multiplicity 8)

3.
Compound: ZrRh4
Source: Alexandria
Functional: GGA-PBEsol
Structure: optimized geometry

Results
Its calculated density is 9.1 g/cm³. Its crystal system is cubic. The value obtained for the energy above the most stable polymorph in this dataset is 1.267 eV/atom. Its formation energy is 0.817 eV per atom.

Cell: 5.6829 5.6829 5.6829 Å, 90.00 90.00 90.00°
Space group Im-3m (No. 229)
One atom of each set of equivalent atoms:
Zr (0.0000, 0.0000, 0.0000) (multiplicity 2)
Rh (0.2500, 0.2500, 0.2500) (multiplicity 8)

4.
Compound: Zr3Rh
Source: Alexandria
Functional: GGA-PBEsol
Structure: optimized geometry

Results
Its calculated density is 8.0 g/cm³. Its crystal system is tetragonal. Its formation energy is -0.410 eV per atom.

Cell: 3.2811 3.2811 7.2211 Å, 90.00 90.00 90.00°
Space group P4/mmm (No. 123)
One atom of each set of equivalent atoms:
Zr (0.0000, 0.0000, 0.0000) (multiplicity 1)
Zr (0.5000, 0.5000, 0.2801) (multiplicity 2)
Rh (0.0000, 0.0000, 0.5000) (multiplicity 1)

5.
Compound: Zr4Rh5
Source: Alexandria
Functional: GGA-PBEsol
Structure: optimized geometry

Results
Its calculated density is 9.7 g/cm³. Its crystal system is tetragonal. Its formation energy is -0.718 eV per atom.

Cell: 8.7060 8.7060 3.9837 Å, 90.00 90.00 90.00°
Space group I4/mmm (No. 139)
One atom of each set of equivalent atoms:
Zr (0.0000, 0.2993, 0.0000) (multiplicity 8)
Rh (0.0000, 0.0000, 0.0000) (multiplicity 2)
Rh (0.1643, 0.1643, 0.5000) (multiplicity 8)

6.
Compound: Zr3Rh5
Source: Alexandria
Functional: GGA-PBEsol
Structure: optimized geometry

Results
Its calculated density is 10.2 g/cm³. Its crystal system is orthorhombic. Its formation energy is -0.796 eV per atom.

Cell: 7.1627 8.4345 4.2465 Å, 90.00 90.00 90.00°
Space group Cmmm (No. 65)
One atom of each set of equivalent atoms:
Zr (0.0000, 0.0000, 0.0000) (multiplicity 2)
Zr (0.0000, 0.2934, 0.5000) (multiplicity 4)
Rh (0.0000, 0.5000, 0.0000) (multiplicity 2)
Rh (0.2155, 0.0000, 0.5000) (multiplicity 4)
Rh (0.2500, 0.2500, 0.0000) (multiplicity 4)

7.
Compound: Zr2Rh3
Source: Alexandria
Functional: GGA-PBEsol
Structure: optimized geometry

Results
Its calculated density is 10.0 g/cm³. Its crystal system is orthorhombic. Its formation energy is -0.706 eV per atom.

Cell: 9.5996 13.0782 5.2202 Å, 90.00 90.00 90.00°
Space group Fdd2 (No. 43)
One atom of each set of equivalent atoms:
Zr (0.0566, 0.3023, 0.0000) (multiplicity 16)
Rh (0.0000, 0.0000, 0.4046) (multiplicity 8)
Rh (0.0575, 0.3945, 0.4769) (multiplicity 16)

8.
Compound: RuS2
Source: Alexandria
Functional: GGA-PBEsol
Structure: optimized geometry

Results
Its calculated density is 6.3 g/cm³. Its crystal system is cubic. Its uncorrected formation energy is -0.69 eV/atom.

Cell: 5.5735 5.5735 5.5735 Å, 90.00 90.00 90.00°
Space group Pa-3 (No. 205)
One atom of each set of equivalent atoms:
Ru (0.0000, 0.0000, 0.0000) (multiplicity 4)
S (0.1137, 0.6137, 0.8863) (multiplicity 8)

9.
Compound: SbRuS2
Source: Alexandria
Functional: GGA-PBEsol
Structure: optimized geometry

Results
Its calculated density is 6.7 g/cm³. Its crystal system is tetragonal. Its uncorrected formation energy is -0.04 eV/atom.

Cell: 6.8700 6.8700 6.0571 Å, 90.00 90.00 90.00°
Space group I-42d (No. 122)
One atom of each set of equivalent atoms:
Sb (0.0000, 0.0000, 0.0000) (multiplicity 4)
Ru (0.0000, 0.0000, 0.5000) (multiplicity 4)
S (0.1836, 0.2500, 0.6250) (multiplicity 8)

10.
Compound: SbRuS2
Source: Alexandria
Functional: GGA-PBEsol
Structure: optimized geometry

Results
Its calculated density is 5.9 g/cm³. Its crystal system is trigonal. Its uncorrected formation energy is -0.21 eV/atom.

Cell: 3.4720 3.4720 23.3190 Å, 90.00 90.00 120.00°
Space group R-3m (No. 166, hexagonal axes)
One atom of each set of equivalent atoms:
Sb (0.0000, 0.0000, 0.0000) (multiplicity 3)
Ru (0.0000, 0.0000, 0.5000) (multiplicity 3)
S (0.0000, 0.0000, 0.1154) (multiplicity 6)

11.
Compound: Sc2RuS
Source: Alexandria
Functional: GGA-PBEsol
Structure: optimized geometry

Results
Its calculated density is 4.6 g/cm³. Its crystal system is trigonal. Its uncorrected formation energy is -0.31 eV/atom.

Cell: 3.3190 3.3190 25.2290 Å, 90.00 90.00 120.00°
Space group R-3m (No. 166, hexagonal axes)
One atom of each set of equivalent atoms:
Sc (0.0000, 0.0000, 0.0946) (multiplicity 6)
Ru (0.0000, 0.0000, 0.5000) (multiplicity 3)
S (0.0000, 0.0000, 0.0000) (multiplicity 3)

12.
Compound: RuSeS
Source: Alexandria
Functional: GGA-PBEsol
Structure: optimized geometry

Results
Its calculated density is 7.4 g/cm³. Its crystal system is cubic. Its uncorrected formation energy is -0.57 eV/atom.

Cell: 5.7457 5.7457 5.7457 Å, 90.00 90.00 90.00°
Space group P2_13 (No. 198)
One atom of each set of equivalent atoms:
Ru (0.0092, 0.0092, 0.0092) (multiplicity 4)
Se (0.1197, 0.6197, 0.8803) (multiplicity 4)
S (0.1166, 0.8834, 0.3834) (multiplicity 4)

Which of these has the highest calculated density? Zr3Rh5

Please write out number 8 again, unchanged.
Compound: RuS2
Source: Alexandria
Functional: GGA-PBEsol
Structure: optimized geometry

Results
Its calculated density is 6.3 g/cm³. Its crystal system is cubic. Its uncorrected formation energy is -0.69 eV/atom.

Cell: 5.5735 5.5735 5.5735 Å, 90.00 90.00 90.00°
Space group Pa-3 (No. 205)
One atom of each set of equivalent atoms:
Ru (0.0000, 0.0000, 0.0000) (multiplicity 4)
S (0.1137, 0.6137, 0.8863) (multiplicity 8)

Which value of calculated density does entry 5 give? 9.7 g/cm³

The lowest calculated density belongs to which entry? Sc2RuS